14
Lattice="-1.084 5.535 -0.132 -6.208 1.485 -7.254 -5.445 1.992 7.730" Properties=species:S:1:pos:R:3 comment="Pr3Ho8Er3 (PBE, relaxed)" delta_e_f_ev_per_atom=0.11 pbc="T T T"
Pr -0.542 2.768 -0.066
Pr -6.068 1.578 -4.506
Pr -5.585 1.899 4.982
Ho -8.503 7.003 1.733
Ho -8.237 4.065 -3.027
Ho -4.234 2.009 -1.389
Ho -7.901 4.288 3.567
Ho -4.078 2.113 1.673
Ho -8.659 6.899 -1.329
Ho -4.500 4.947 3.372
Ho -4.836 4.724 -3.223
Er -9.489 3.900 0.352
Er -3.248 5.113 -0.007
Er -6.368 4.506 0.172